#w
Compound: BeFeTeI2
Source: the Alexandria database
Functional: PBE-GGA
Structure: optimized geometry

Lattice parameters (Å, degrees): 5.449 5.449 4.785 90.00 90.00 90.00
Last column: magnetic moment on the atom in μB.
Atoms (fractional coordinates):
I 0.000 0.500 0.000  0.02
I 0.500 0.000 0.000  0.02
Be 0.500 0.500 0.500  -0.05
Te 0.000 0.000 0.500  0.06
Fe 0.000 0.000 0.000  2.39

Density of states at the Fermi level: 7.49 states/eV/f.u.
SG: No. 123
Density: 5215 kg/m³
Crystal system: tetragonal

#x
Compound: BeFeTeI2
Source: the Alexandria database
Functional: PBE-GGA
Structure: optimized geometry

Lattice parameters (Å, degrees): 5.164 5.164 5.194 90.00 90.00 90.00
Last column: magnetic moment on the atom in μB.
Atoms (fractional coordinates):
I 0.000 0.500 0.000  0.07
I 0.500 0.000 0.000  0.07
Be 0.000 0.000 0.000  0.00
Te 0.000 0.000 0.500  0.09
Fe 0.500 0.500 0.500  3.40

Density of states at the Fermi level: 4.71 states/eV/f.u.
SG: No. 123
Density: 5350 kg/m³
Crystal system: tetragonal

In order of decreasing stability: #x, #w.

#w
Compound: BeInFe2
Source: the Alexandria database
Functional: PBE-GGA
Structure: optimized geometry

Lattice parameters (Å, degrees): 4.706 4.706 4.706 138.57 128.96 67.76
Last column: magnetic moment on the atom in μB.
Atoms (fractional coordinates):
Be 0.236 0.736 0.500  -0.06
Fe 0.014 0.014 0.000  2.28
Fe 0.760 0.260 0.500  2.43
In 0.491 0.491 0.000  -0.06

Density of states at the Fermi level: 2.61 states/eV/f.u.
SG: No. 44
Density: 7415 kg/m³
Crystal system: orthorhombic

#x
Compound: BeInFe2
Source: the Alexandria database
Functional: PBE-GGA
Structure: optimized geometry

Lattice parameters (Å, degrees): 3.662 3.664 3.920 90.00 90.00 90.00
Last column: magnetic moment on the atom in μB.
Atoms (fractional coordinates):
Be 0.000 0.500 0.500  -0.07
Fe 0.000 0.000 0.000  2.30
Fe 0.500 0.500 0.000  2.30
In 0.500 0.000 0.500  -0.08

Density of states at the Fermi level: 2.28 states/eV/f.u.
SG: No. 123
Density: 7434 kg/m³
Crystal system: tetragonal

#y
Compound: BeInFe2
Source: the Alexandria database
Functional: PBE-GGA
Structure: optimized geometry

Lattice parameters (Å, degrees): 3.943 2.703 5.135 82.50 90.00 90.00
Last column: magnetic moment on the atom in μB.
Atoms (fractional coordinates):
Be 0.500 0.664 0.829  -0.06
Fe 0.000 0.024 0.969  2.29
Fe 0.500 0.197 0.213  2.33
In 0.000 0.615 0.489  -0.07

Density of states at the Fermi level: 2.45 states/eV/f.u.
SG: No. 6
Density: 7208 kg/m³
Crystal system: monoclinic

In order of decreasing stability: #x, #y, #w.

#w
Compound: BeInFe2
Source: the Alexandria database
Functional: PBE-GGA
Structure: optimized geometry

Lattice parameters (Å, degrees): 4.648 4.648 2.703 89.96 89.96 112.41
Last column: magnetic moment on the atom in μB.
Atoms (fractional coordinates):
Be 0.000 0.500 0.500  -0.07
Fe 0.000 0.000 0.000  2.36
Fe 0.500 0.500 0.000  2.36
In 0.500 0.000 0.500  -0.08

Density of states at the Fermi level: 2.78 states/eV/f.u.
SG: No. 65
Density: 7243 kg/m³
Crystal system: orthorhombic

#x
Compound: BeInFe2
Source: the Alexandria database
Functional: PBE-GGA
Structure: optimized geometry

Lattice parameters (Å, degrees): 2.950 2.950 6.060 90.00 90.00 90.00
Last column: magnetic moment on the atom in μB.
Atoms (fractional coordinates):
Be 0.500 0.500 0.818  -0.06
Fe 0.000 0.000 0.986  1.98
Fe 0.500 0.500 0.196  2.12
In 0.000 0.000 0.500  -0.07

Density of states at the Fermi level: 3.18 states/eV/f.u.
SG: No. 99
Density: 7415 kg/m³
Crystal system: tetragonal

#y
Compound: BeInFe2
Source: the Alexandria database
Functional: PBE-GGA
Structure: optimized geometry

Lattice parameters (Å, degrees): 4.197 4.197 4.197 60.00 60.00 60.00
Last column: magnetic moment on the atom in μB.
Atoms (fractional coordinates):
Be 0.000 0.000 0.000  -0.09
Fe 0.250 0.250 0.250  2.03
Fe 0.750 0.750 0.750  2.03
In 0.500 0.500 0.500  -0.08

Density of states at the Fermi level: 3.71 states/eV/f.u.
SG: No. 225
Density: 7480 kg/m³
Crystal system: cubic

#z
Compound: BeInFe2
Source: the Alexandria database
Functional: PBE-GGA
Structure: optimized geometry

Lattice parameters (Å, degrees): 4.720 4.720 4.060 64.82 64.82 40.18
Last column: magnetic moment on the atom in μB.
Atoms (fractional coordinates):
Be 0.250 0.250 0.250  -0.07
Fe 0.980 0.980 0.021  2.27
Fe 0.520 0.520 0.479  2.27
In 0.750 0.750 0.750  -0.07

Density of states at the Fermi level: 2.76 states/eV/f.u.
SG: No. 12
Density: 7517 kg/m³
Crystal system: monoclinic

In order of decreasing stability: #x, #z, #w, #y.

#w
Compound: BeInFe2
Source: the Alexandria database
Functional: PBE-GGA
Structure: optimized geometry

Lattice parameters (Å, degrees): 4.422 4.422 4.422 127.78 127.78 76.98
Last column: magnetic moment on the atom in μB.
Atoms (fractional coordinates):
Be 0.750 0.250 0.500  -0.05
Fe 0.000 0.000 0.000  2.27
Fe 0.250 0.750 0.500  2.20
In 0.500 0.500 0.000  -0.07

Density of states at the Fermi level: 2.68 states/eV/f.u.
SG: No. 119
Density: 7458 kg/m³
Crystal system: tetragonal

#x
Compound: BeInFe2
Source: the Alexandria database
Functional: PBE-GGA
Structure: optimized geometry

Lattice parameters (Å, degrees): 6.906 6.906 6.906 25.68 25.68 25.68
Last column: magnetic moment on the atom in μB.
Atoms (fractional coordinates):
Be 0.750 0.750 0.750  -0.14
Fe 0.024 0.024 0.024  2.22
Fe 0.476 0.476 0.476  2.22
In 0.250 0.250 0.250  -0.07

Density of states at the Fermi level: 3.10 states/eV/f.u.
SG: No. 166
Density: 7183 kg/m³
Crystal system: trigonal

In order of decreasing stability: #w, #x.

#w
Compound: BeInFe
Source: the Alexandria database
Functional: PBE-GGA
Structure: optimized geometry

Lattice parameters (Å, degrees): 4.014 4.014 4.014 60.00 60.00 60.00
Last column: magnetic moment on the atom in μB.
Atoms (fractional coordinates):
Be 0.750 0.750 0.750  -0.07
Fe 0.000 0.000 0.000  2.48
In 0.500 0.500 0.500  -0.04

Density of states at the Fermi level: 3.83 states/eV/f.u.
SG: No. 216
Density: 6526 kg/m³
Crystal system: cubic

#x
Compound: BeInFe
Source: the Alexandria database
Functional: PBE-GGA
Structure: optimized geometry

Lattice parameters (Å, degrees): 5.027 5.027 2.955 72.91 72.91 34.18
Last column: magnetic moment on the atom in μB.
Atoms (fractional coordinates):
Be 0.043 0.043 0.957  -0.03
Fe 0.629 0.629 0.371  0.58
In 0.328 0.328 0.672  -0.02

Density of states at the Fermi level: 1.94 states/eV/f.u.
SG: No. 107
Density: 7472 kg/m³
Crystal system: tetragonal

#y
Compound: BeInFe
Source: the Alexandria database
Functional: PBE-GGA
Structure: optimized geometry

Lattice parameters (Å, degrees): 4.015 4.015 2.923 90.00 90.00 120.00
Last column: magnetic moment on the atom in μB.
Atoms (fractional coordinates):
Be 0.000 0.000 0.158  -0.04
Fe 0.667 0.333 0.172  1.23
In 0.333 0.667 0.670  -0.06

Density of states at the Fermi level: 2.39 states/eV/f.u.
SG: No. 156
Density: 7313 kg/m³
Crystal system: trigonal

In order of decreasing stability: #x, #y, #w.

#w
Compound: BeFeIr
Source: the Alexandria database
Functional: PBE-GGA
Structure: optimized geometry

Lattice parameters (Å, degrees): 3.926 3.926 2.659 90.00 90.00 120.00
Last column: magnetic moment on the atom in μB.
Atoms (fractional coordinates):
Be 0.000 0.000 0.342  -0.02
Ir 0.333 0.667 0.599  0.34
Fe 0.667 0.333 0.059  2.54

Density of states at the Fermi level: 2.42 states/eV/f.u.
SG: No. 156
Density: 12026 kg/m³
Crystal system: trigonal

#x
Compound: BeFeIr
Source: the Alexandria database
Functional: PBE-GGA
Structure: optimized geometry

Lattice parameters (Å, degrees): 3.761 3.761 3.761 60.00 60.00 60.00
Last column: magnetic moment on the atom in μB.
Atoms (fractional coordinates):
Be 0.750 0.750 0.750  -0.06
Ir 0.500 0.500 0.500  0.40
Fe 0.000 0.000 0.000  2.73

Density of states at the Fermi level: 2.97 states/eV/f.u.
SG: No. 216
Density: 11345 kg/m³
Crystal system: cubic

#y
Compound: BeFeIr
Source: the Alexandria database
Functional: PBE-GGA
Structure: optimized geometry

Lattice parameters (Å, degrees): 6.243 6.006 2.614 82.81 72.65 24.54
Last column: magnetic moment on the atom in μB.
Atoms (fractional coordinates):
Be 0.001 0.001 0.999  -0.05
Ir 0.344 0.344 0.656  0.22
Fe 0.656 0.656 0.344  2.52

Density of states at the Fermi level: 2.94 states/eV/f.u.
SG: No. 42
Density: 11820 kg/m³
Crystal system: orthorhombic

#z
Compound: BeFeIr
Source: the Alexandria database
Functional: PBE-GGA
Structure: optimized geometry

Lattice parameters (Å, degrees): 4.278 4.278 4.278 143.87 132.21 61.34
Last column: magnetic moment on the atom in μB.
Atoms (fractional coordinates):
Be 0.999 0.999 0.000  0.00
Ir 0.666 0.666 0.000  -0.01
Fe 0.335 0.335 0.000  -0.22

Density of states at the Fermi level: 2.97 states/eV/f.u.
SG: No. 44
Density: 12622 kg/m³
Crystal system: orthorhombic

In order of decreasing stability: #w, #z, #y, #x.

#w
Compound: BeFeIr
Source: the Alexandria database
Functional: PBE-GGA
Structure: optimized geometry

Lattice parameters (Å, degrees): 2.665 3.992 7.502 90.32 90.00 109.50
Last column: magnetic moment on the atom in μB.
Atoms (fractional coordinates):
Be 0.862 0.723 0.920  0.00
Be 0.138 0.277 0.080  0.00
Fe 0.135 0.271 0.410  2.48
Fe 0.865 0.729 0.590  2.48
Ir 0.857 0.715 0.228  0.19
Ir 0.143 0.285 0.772  0.19

Density of states at the Fermi level: 2.66 states/eV/f.u.
SG: No. 12
Density: 11347 kg/m³
Crystal system: monoclinic

#x
Compound: BeFeIr
Source: the Alexandria database
Functional: PBE-GGA
Structure: optimized geometry

Lattice parameters (Å, degrees): 4.828 4.828 4.828 146.69 146.69 47.82
Last column: magnetic moment on the atom in μB.
Atoms (fractional coordinates):
Be 0.000 0.000 0.000  -0.04
Ir 0.653 0.653 0.000  0.16
Fe 0.346 0.346 0.000  2.24

Density of states at the Fermi level: 2.66 states/eV/f.u.
SG: No. 107
Density: 12624 kg/m³
Crystal system: tetragonal

In order of decreasing stability: #x, #w.

#w
Compound: Be3FeIr
Source: the Alexandria database
Functional: PBE-GGA
Structure: optimized geometry

Lattice parameters (Å, degrees): 3.784 3.784 3.784 90.00 90.00 90.00
Atoms (fractional coordinates):
Be 0.000 0.500 0.000
Be 0.000 0.000 0.500
Be 0.500 0.000 0.000
Ir 0.500 0.500 0.500
Fe 0.000 0.000 0.000

Density of states at the Fermi level: 3.08 states/eV/f.u.
SG: No. 221
Density: 8428 kg/m³
Crystal system: cubic

#x
Compound: Be3FeIr
Source: the Alexandria database
Functional: PBE-GGA
Structure: optimized geometry

Lattice parameters (Å, degrees): 4.145 4.145 4.145 90.00 90.00 90.00
Last column: magnetic moment on the atom in μB.
Atoms (fractional coordinates):
Be 0.000 0.500 0.000  -0.02
Be 0.000 0.000 0.500  -0.06
Be 0.500 0.000 0.000  -0.01
Ir 0.000 0.000 0.000  0.06
Fe 0.500 0.500 0.500  3.09

Density of states at the Fermi level: 3.33 states/eV/f.u.
SG: No. 221
Density: 6417 kg/m³
Crystal system: cubic

In order of decreasing stability: #x, #w.